P | The following is a DFT calculation (PBE) of a relaxed MgCdHgPb crystal.

```
data_MgCdHgPb
_chemical_formula_sum 'Mg1 Cd1 Hg1 Pb1'
_space_group_name_H-M_alt 'P 4 m m'
_space_group_IT_number 99
_cell_length_a 3.297
_cell_length_b 3.297
_cell_length_c 9.185
_cell_angle_alpha 90.00
_cell_angle_beta 90.00
_cell_angle_gamma 90.00
loop_
_space_group_symop_operation_xyz
'x,y,z'
'-y,x,z'
'-x,-y,z'
'y,-x,z'
'-x,y,z'
'y,x,z'
'x,-y,z'
'-y,-x,z'
loop_
_atom_site_label
_atom_site_type_symbol
_atom_site_fract_x
_atom_site_fract_y
_atom_site_fract_z
Mg1 Mg 0.000 0.000 0.000
Cd1 Cd 0.500 0.500 0.776
Hg1 Hg 0.500 0.500 0.209
Pb1 Pb 0.000 0.000 0.494
```

Computed properties:
Total magnetization   0.0 μB/f.u.

Q | The following is a DFT calculation (PBE) of a relaxed MgCdHgPb crystal.

```
data_MgCdHgPb
_chemical_formula_sum 'Mg4 Cd4 Hg4 Pb4'
_space_group_name_H-M_alt 'F -4 3 m'
_space_group_IT_number 216
_space_group_name_Hall 'F -4 2 3'
_cell_length_a 7.355
_cell_length_b 7.355
_cell_length_c 7.355
_cell_angle_alpha 90.00
_cell_angle_beta 90.00
_cell_angle_gamma 90.00
loop_
_atom_site_label
_atom_site_type_symbol
_atom_site_fract_x
_atom_site_fract_y
_atom_site_fract_z
Mg1 Mg 0.000 0.000 0.000
Cd1 Cd 0.000 0.000 0.500
Hg1 Hg 0.250 0.250 0.750
Pb1 Pb 0.250 0.250 0.250
```

Computed properties:
Total magnetization   0.0 μB/f.u.

Most stable = P